[1]
## VHgN2 (PBE)

Data for a relaxed VHgN2 crystal.

The space group is R-3m (No. 166, hexagonal axes) and the conventional cell measures 3.3235, 3.3235 and 18.8395 Å, with angles of 90.00, 90.00 and 120.00 degrees. The asymmetric unit holds V at (0.0000, 0.0000, 0.0000), Hg at (0.0000, 0.0000, 0.5000) and N at (0.0000, 0.0000, 0.0957).

The calculation puts the total magnetization at 0.00 μB per cell. Its uncorrected formation energy is 1.199 eV per atom. The value obtained for the density of states at the Fermi level is 11.27 states/eV per cell.

[2]
## TbZnInCo (PBE)

Data for a relaxed TbZnInCo crystal.

The space group is F-43m (No. 216) and the conventional cell measures 6.682, 6.682 and 6.682 Å, with angles of 90.00, 90.00 and 90.00 degrees. The asymmetric unit holds Tb at (0.000, 0.000, 0.000), Zn at (0.250, 0.250, 0.250), In at (0.000, 0.000, 0.500) and Co at (0.250, 0.250, 0.750).

The calculation puts the total magnetization at 4.73 μB per cell. The calculation puts the energy of formation at -60 kJ/mol of formula units. The value obtained for the density of states at the Fermi level is 10.12 states/eV per cell.